1.
Compound: TbPrSc2
Source: the Alexandria database
Functional: GGA-PBE
Structure: optimized geometry

Cell: 5.4782 5.4782 5.4782 Å, 60.00 60.00 60.00°
Atoms (fractional coordinates):
Tb 0.0000 0.0000 0.0000
Pr 0.5000 0.5000 0.5000
Sc 0.2500 0.2500 0.2500
Sc 0.7500 0.7500 0.7500

Computed properties:
VASP energy: -21.756 eV/f.u.
DFT formation energy: 7.6 kJ per mole of atoms
Energy relative to the lowest polymorph listed for this composition: 23 meV/atom
N(E_F): 5.77 states/eV/f.u.


2.
Compound: Be6Al3Cu20
Source: the Alexandria database
Functional: GGA-PBE
Structure: optimized geometry

Cell: 7.8108 7.8108 7.8108 Å, 60.00 60.00 60.00°
Atoms (fractional coordinates):
Be 0.2291 0.2291 0.7709
Be 0.2291 0.7709 0.2291
Be 0.2291 0.7709 0.7709
Be 0.7709 0.2291 0.2291
Be 0.7709 0.2291 0.7709
Be 0.7709 0.7709 0.2291
Al 0.2500 0.2500 0.2500
Al 0.5000 0.5000 0.5000
Al 0.7500 0.7500 0.7500
Cu 0.1198 0.1198 0.1198
Cu 0.1198 0.1198 0.6407
Cu 0.1198 0.6407 0.1198
Cu 0.1549 0.5000 0.5000
Cu 0.1549 0.5000 0.8451
Cu 0.1549 0.8451 0.5000
Cu 0.3593 0.8802 0.8802
Cu 0.5000 0.1549 0.5000
Cu 0.5000 0.1549 0.8451
Cu 0.5000 0.5000 0.1549
Cu 0.5000 0.5000 0.8451
Cu 0.5000 0.8451 0.1549
Cu 0.5000 0.8451 0.5000
Cu 0.6407 0.1198 0.1198
Cu 0.8451 0.1549 0.5000
Cu 0.8451 0.5000 0.1549
Cu 0.8451 0.5000 0.5000
Cu 0.8802 0.3593 0.8802
Cu 0.8802 0.8802 0.3593
Cu 0.8802 0.8802 0.8802

Computed properties:
VASP energy: -116.487 eV/f.u.
DFT formation energy: -3.3 kJ per mole of atoms
N(E_F): 9.51 states/eV/f.u.


3.
Compound: FeHgC2
Source: the Alexandria database
Functional: GGA-PBE
Structure: optimized geometry

Cell: 5.6669 5.6669 5.6669 Å, 128.59 128.59 75.68°
Atoms (fractional coordinates):
Fe 0.0000 0.0000 0.0000
Fe 0.7500 0.2500 0.5000
Hg 0.2500 0.7500 0.5000
Hg 0.5000 0.5000 0.0000
C 0.0160 0.6250 0.8910
C 0.3750 0.2660 0.3910
C 0.7340 0.1250 0.1090
C 0.8750 0.9840 0.6090

Computed properties:
VASP energy: -22.333 eV/f.u.
DFT formation energy: 117.7 kJ per mole of atoms
N(E_F): 2.68 states/eV/f.u.


4.
Compound: ZrAlFe5
Source: the Alexandria database
Functional: GGA-PBE
Structure: optimized geometry

Cell: 7.8551 4.7170 9.9493 Å, 90.00 90.00 90.00°
Atoms (fractional coordinates):
Zr 0.2388 0.2500 0.0600
Zr 0.2612 0.7500 0.5600
Zr 0.7388 0.2500 0.4400
Zr 0.7612 0.7500 0.9400
Al 0.1380 0.7500 0.8588
Al 0.3620 0.2500 0.3588
Al 0.6380 0.7500 0.6412
Al 0.8620 0.2500 0.1412
Fe 0.0503 0.7500 0.0995
Fe 0.0685 0.0064 0.3097
Fe 0.0685 0.4936 0.3097
Fe 0.0901 0.2500 0.5194
Fe 0.1897 0.2500 0.7496
Fe 0.3103 0.7500 0.2496
Fe 0.4099 0.7500 0.0194
Fe 0.4315 0.5064 0.8097
Fe 0.4315 0.9936 0.8097
Fe 0.4497 0.2500 0.5995
Fe 0.5503 0.7500 0.4005
Fe 0.5685 0.0064 0.1903
Fe 0.5685 0.4936 0.1903
Fe 0.5901 0.2500 0.9806
Fe 0.6897 0.2500 0.7504
Fe 0.8103 0.7500 0.2504
Fe 0.9099 0.7500 0.4806
Fe 0.9315 0.5064 0.6903
Fe 0.9315 0.9936 0.6903
Fe 0.9497 0.2500 0.9005

Computed properties:
VASP energy: -55.967 eV/f.u.
DFT formation energy: -18.8 kJ per mole of atoms
N(E_F): 6.81 states/eV/f.u.


5.
Compound: KZn2Mo2
Source: the Alexandria database
Functional: GGA-PBE
Structure: optimized geometry

Cell: 5.5460 5.5460 5.5460 Å, 125.28 125.28 81.08°
Atoms (fractional coordinates):
K 0.0000 0.0000 0.0000
Zn 0.2500 0.7500 0.5000
Zn 0.7500 0.2500 0.5000
Mo 0.3730 0.3730 0.0000
Mo 0.6270 0.6270 0.0000

Computed properties:
VASP energy: -20.999 eV/f.u.
DFT formation energy: 83.1 kJ per mole of atoms
Energy relative to the lowest polymorph listed for this composition: 398 meV/atom
N(E_F): 6.37 states/eV/f.u.


6.
Compound: Rb2CeCl2O2
Source: the Alexandria database
Functional: GGA-PBE
Structure: optimized geometry

Cell: 9.2522 9.2522 9.2522 Å, 152.10 152.10 39.86°
Atoms (fractional coordinates):
Rb 0.1340 0.1340 0.0000
Rb 0.8660 0.8660 0.0000
Ce 0.5000 0.5000 0.0000
Cl 0.3345 0.3345 0.0000
Cl 0.6655 0.6655 0.0000
O 0.0000 0.5000 0.5000
O 0.5000 0.0000 0.5000

Computed properties:
VASP energy: -38.379 eV/f.u.
Raw formation energy: -2414.3 meV/atom
N(E_F): 0.00 states/eV/f.u.


7.
Compound: Pa2Ga4Ir3
Source: the Alexandria database
Functional: GGA-PBE
Structure: optimized geometry

Cell: 7.8788 6.8328 5.5143 Å, 78.50 58.19 43.30°
Atoms (fractional coordinates):
Pa 0.1175 0.1175 0.8825
Pa 0.8825 0.8825 0.1175
Ga 0.1672 0.4976 0.5024
Ga 0.4976 0.1672 0.8328
Ga 0.5024 0.8328 0.1672
Ga 0.8328 0.5024 0.4976
Ir 0.0000 0.0000 0.5000
Ir 0.5000 0.5000 0.0000
Ir 0.5000 0.5000 0.5000

Computed properties:
VASP energy: -62.641 eV/f.u.
DFT formation energy: -53.2 kJ per mole of atoms
N(E_F): 7.18 states/eV/f.u.


8.
Compound: SrSc2Al
Source: the Alexandria database
Functional: GGA-PBE
Structure: optimized geometry

Cell: 3.4491 3.4491 9.1655 Å, 90.00 90.00 90.00°
Atoms (fractional coordinates):
Sr 0.0000 0.0000 0.0000
Sc 0.5000 0.5000 0.3190
Sc 0.5000 0.5000 0.6810
Al 0.0000 0.0000 0.5000

Computed properties:
VASP energy: -18.247 eV/f.u.
DFT formation energy: -3.8 kJ per mole of atoms
N(E_F): 3.30 states/eV/f.u.


9.
Compound: Tb4InIr
Source: the Alexandria database
Functional: GGA-PBE
Structure: optimized geometry

Cell: 7.9803 7.9803 6.0515 Å, 100.02 100.02 112.92°
Atoms (fractional coordinates):
Tb 0.0604 0.7185 0.9468
Tb 0.2063 0.3564 0.6194
Tb 0.2815 0.9396 0.5532
Tb 0.3564 0.2063 0.1194
Tb 0.6436 0.7937 0.8806
Tb 0.7185 0.0604 0.4468
Tb 0.7937 0.6436 0.3806
Tb 0.9396 0.2815 0.0532
In 0.3759 0.6241 0.2500
In 0.6241 0.3759 0.7500
Ir 0.0004 0.9996 0.2500
Ir 0.9996 0.0004 0.7500

Computed properties:
VASP energy: -33.160 eV/f.u.
DFT formation energy: -48.9 kJ per mole of atoms
Energy relative to the lowest polymorph listed for this composition: 68 meV/atom
N(E_F): 5.47 states/eV/f.u.


10.
Compound: Dy3GaCu
Source: the Alexandria database
Functional: GGA-PBE
Structure: optimized geometry

Cell: 7.9901 7.9901 8.0333 Å, 90.08 90.08 85.36°
Atoms (fractional coordinates):
Dy 0.0035 0.7996 0.5842
Dy 0.0788 0.4213 0.7981
Dy 0.2004 0.9965 0.9158
Dy 0.2992 0.5011 0.4155
Dy 0.4213 0.0788 0.2981
Dy 0.4989 0.7008 0.0845
Dy 0.5011 0.2992 0.9155
Dy 0.5787 0.9212 0.7019
Dy 0.7008 0.4989 0.5845
Dy 0.7996 0.0035 0.0842
Dy 0.9212 0.5787 0.2019
Dy 0.9965 0.2004 0.4158
Ga 0.1544 0.8456 0.2500
Ga 0.3469 0.6531 0.7500
Ga 0.6531 0.3469 0.2500
Ga 0.8456 0.1544 0.7500
Cu 0.1896 0.3067 0.1231
Cu 0.3067 0.1896 0.6231
Cu 0.6933 0.8104 0.3769
Cu 0.8104 0.6933 0.8769

Computed properties:
VASP energy: -21.956 eV/f.u.
DFT formation energy: -19.8 kJ per mole of atoms
N(E_F): 5.09 states/eV/f.u.


11.
Compound: LaTbPdS3
Source: the Alexandria database
Functional: GGA-PBE
Structure: optimized geometry

Cell: 8.0397 3.9324 8.7196 Å, 90.00 103.18 90.00°
Atoms (fractional coordinates):
La 0.1847 0.2500 0.2501
La 0.8153 0.7500 0.7499
Tb 0.3240 0.7500 0.8230
Tb 0.6760 0.2500 0.1770
Pd 0.1045 0.2500 0.5961
Pd 0.8955 0.7500 0.4039
S 0.0946 0.2500 0.8740
S 0.2533 0.7500 0.5024
S 0.4228 0.7500 0.1547
S 0.5772 0.2500 0.8453
S 0.7467 0.2500 0.4976
S 0.9054 0.7500 0.1260

Computed properties:
VASP energy: -37.726 eV/f.u.
Raw formation energy: -1765.6 meV/atom
N(E_F): 0.73 states/eV/f.u.


12.
Compound: TbSmTlCo
Source: the Alexandria database
Functional: GGA-PBE
Structure: optimized geometry

Cell: 5.1756 5.1756 5.1756 Å, 60.00 60.00 60.00°
Atoms (fractional coordinates):
Tb 0.0000 0.0000 0.0000
Sm 0.5000 0.5000 0.5000
Tl 0.2500 0.2500 0.2500
Co 0.7500 0.7500 0.7500

Computed properties:
VASP energy: -19.194 eV/f.u.
DFT formation energy: -9.0 kJ per mole of atoms
N(E_F): 2.35 states/eV/f.u.